Compound: ZrBiPH2
Source: Alexandria via LeMat-Bulk
Functional: PBE-GGA
Structure: optimized geometry

a = 4.0066 Å, b = 4.0066 Å, c = 5.3999 Å
α = 90.00°, β = 90.00°, γ = 90.00°
Last column: nearest neighbours and their distance in Å.
Fractional coordinates of all 5 atoms:
Zr 0.0000 0.0000 0.0000  2 P 2.70, 4 Bi 2.83
Bi 0.5000 0.5000 0.0000  4 Zr 2.83
P 0.0000 0.0000 0.5000  4 H 2.00
H 0.0000 0.5000 0.5000  2 P 2.00
H 0.5000 0.0000 0.5000  2 P 2.00

Values from the calculation:
Magnetic moment in μB per cell: 0.0
Uncorrected energy in eV for the cell shown: -23.03

Compound: Rb2ThGaSe5
Source: Alexandria via LeMat-Bulk
Functional: PBE-GGA
Structure: optimized geometry

a = 10.7820 Å, b = 10.7820 Å, c = 14.9916 Å
α = 90.00°, β = 90.00°, γ = 158.12°
Last column: nearest neighbours and their distance in Å.
Fractional coordinates of all 18 atoms:
Rb 0.1248 0.8752 0.5000  6 Se 3.52-3.56
Rb 0.1317 0.8683 0.8639  7 Se 3.50-3.77
Rb 0.8683 0.1317 0.3639  7 Se 3.50-3.77
Rb 0.8752 0.1248 0.0000  6 Se 3.52-3.56
Th 0.1994 0.8006 0.1986  6 Se 2.84-3.10
Th 0.8006 0.1994 0.6986  6 Se 2.84-3.10
Ga 0.4323 0.5677 0.5940  4 Se 2.37-2.52
Ga 0.5677 0.4323 0.0940  4 Se 2.37-2.52
Se 0.0532 0.9468 0.1900  2 Ga 2.52
Se 0.3079 0.6921 0.8302  2 Th 2.85
Se 0.3168 0.6832 0.5562  1 Ga 2.51
Se 0.3330 0.6670 0.1811  1 Th 2.84
Se 0.4906 0.5094 0.4591  1 Ga 2.37
Se 0.5094 0.4906 0.9591  1 Ga 2.37
Se 0.6670 0.3330 0.6811  1 Th 2.84
Se 0.6832 0.3168 0.0562  1 Ga 2.51
Se 0.6921 0.3079 0.3302  2 Th 2.85
Se 0.9468 0.0532 0.6900  2 Ga 2.52

Values from the calculation:
Magnetic moment in μB per cell: 1.1
Raw formation energy in eV per atom: -1.1230

Compound: BaSrBi3
Source: Alexandria via LeMat-Bulk
Functional: PBE-GGA
Structure: optimized geometry

a = 6.1070 Å, b = 6.1070 Å, c = 6.1070 Å
α = 90.00°, β = 90.00°, γ = 90.00°
Last column: nearest neighbours and their distance in Å.
Fractional coordinates of all 5 atoms:
Ba 0.0000 0.0000 0.0000  12 Bi 4.32
Sr 0.5000 0.5000 0.5000  6 Bi 3.05
Bi 0.0000 0.5000 0.5000  2 Sr 3.05
Bi 0.5000 0.0000 0.5000  2 Sr 3.05
Bi 0.5000 0.5000 0.0000  2 Sr 3.05

Values from the calculation:
Magnetic moment in μB per cell: 0.0
ΔH_f (0 K) in meV per atom: -78
Polymorph energy (0 for the lowest one) in meV/atom: 649

Compound: AcHfOsO6
Source: Alexandria via LeMat-Bulk
Functional: PBE-GGA
Structure: optimized geometry

a = 6.9785 Å, b = 6.9785 Å, c = 6.9785 Å
α = 121.15°, β = 120.10°, γ = 88.93°
Last column: nearest neighbours and their distance in Å.
Fractional coordinates of all 18 atoms:
Ac 0.3334 0.0834 0.2500  8 O 2.57-2.80
Ac 0.6666 0.9166 0.7500  8 O 2.57-2.80
Hf 0.0000 0.5000 0.5000  8 O 2.09-2.32
Hf 0.5000 0.5000 0.0000  8 O 2.09-2.32
Os 0.0000 0.0000 0.5000  6 O 1.95-1.99
Os 0.0000 0.5000 0.0000  6 O 1.95-1.99
O 0.0617 0.3250 0.1581  1 Os 1.95
O 0.0617 0.9036 0.7367  1 Os 1.95
O 0.1010 0.3510 0.7500  2 Os 1.99
O 0.3331 0.0964 0.6581  1 Os 1.95
O 0.3331 0.6750 0.2367  1 Os 1.95
O 0.3654 0.6154 0.7500  2 Hf 2.09
O 0.6346 0.3846 0.2500  2 Hf 2.09
O 0.6669 0.3250 0.7633  1 Os 1.95
O 0.6669 0.9036 0.3419  1 Os 1.95
O 0.8990 0.6490 0.2500  2 Os 1.99
O 0.9383 0.0964 0.2633  1 Os 1.95
O 0.9383 0.6750 0.8419  1 Os 1.95

Values from the calculation:
Magnetic moment in μB per cell: 4.3
Raw formation energy in eV per atom: -2.3715

Compound: NaIN2O
Source: Alexandria via LeMat-Bulk
Functional: PBE-GGA
Structure: optimized geometry

a = 4.7970 Å, b = 4.7970 Å, c = 4.4627 Å
α = 90.00°, β = 90.00°, γ = 90.00°
Last column: nearest neighbours and their distance in Å.
Fractional coordinates of all 5 atoms:
Na 0.0000 0.0000 0.0000  2 O 2.23, 4 N 2.40
I 0.5000 0.5000 0.5000  8 N 3.28, 4 O 3.39
N 0.0000 0.5000 0.0000  2 Na 2.40
N 0.5000 0.0000 0.0000  2 Na 2.40
O 0.0000 0.0000 0.5000  2 Na 2.23

Values from the calculation:
Magnetic moment in μB per cell: 4.0
Raw formation energy in eV per atom: 1.9917

Compound: Dy4Mg3Pb
Source: Alexandria via LeMat-Bulk
Functional: PBE-GGA
Structure: optimized geometry

a = 3.8320 Å, b = 3.8320 Å, c = 14.9057 Å
α = 90.00°, β = 90.00°, γ = 90.00°
Last column: nearest neighbours and their distance in Å.
Fractional coordinates of all 8 atoms:
Dy 0.0000 0.0000 0.1252  8 Mg 3.25-3.29
Dy 0.0000 0.0000 0.3720  4 Mg 3.30, 4 Pb 3.31, 1 Dy 3.68
Dy 0.0000 0.0000 0.6280  4 Mg 3.30, 4 Pb 3.31, 1 Dy 3.68
Dy 0.0000 0.0000 0.8748  8 Mg 3.25-3.29
Mg 0.5000 0.5000 0.0000  8 Dy 3.29, 2 Mg 3.67
Mg 0.5000 0.5000 0.2461  8 Dy 3.25-3.30
Mg 0.5000 0.5000 0.7539  8 Dy 3.25-3.30
Pb 0.5000 0.5000 0.5000  8 Dy 3.31

Values from the calculation:
Magnetic moment in μB per cell: 0.0
ΔH_f (0 K) in meV per atom: -182

Compound: AlHgPb2
Source: Alexandria via LeMat-Bulk
Functional: PBE-GGA
Structure: optimized geometry

a = 3.5016 Å, b = 3.5016 Å, c = 8.8929 Å
α = 90.00°, β = 90.00°, γ = 96.42°
Last column: nearest neighbours and their distance in Å.
Fractional coordinates of all 4 atoms:
Al 0.0000 0.0000 0.0000  8 Pb 3.07-3.28
Hg 0.0000 0.0000 0.5000  8 Pb 3.39-3.58, 4 Hg 3.50
Pb 0.5000 0.5000 0.2238  4 Al 3.07-3.28, 2 Hg 3.39
Pb 0.5000 0.5000 0.7762  4 Al 3.07-3.28, 2 Hg 3.39

Values from the calculation:
Magnetic moment in μB per cell: 0.0
ΔH_f (0 K) in meV per atom: 122
Polymorph energy (0 for the lowest one) in meV/atom: 0

Compound: CeAsHPt
Source: Alexandria via LeMat-Bulk
Functional: PBE-GGA
Structure: optimized geometry

a = 4.3518 Å, b = 4.3518 Å, c = 4.0091 Å
α = 90.00°, β = 90.00°, γ = 120.00°
Last column: nearest neighbours and their distance in Å.
Fractional coordinates of all 4 atoms:
Ce 0.0000 0.0000 0.0000  3 H 2.51
As 0.3333 0.6667 0.5379  3 Pt 2.53
H 0.6667 0.3333 0.0120  1 Pt 1.80
Pt 0.6667 0.3333 0.4613  1 H 1.80

Values from the calculation:
Magnetic moment in μB per cell: 0.4
Uncorrected energy in eV for the cell shown: -23.86

Compound: CsLaAl3
Source: Alexandria via LeMat-Bulk
Functional: PBE-GGA
Structure: optimized geometry

a = 5.5762 Å, b = 5.5762 Å, c = 5.5762 Å
α = 90.00°, β = 90.00°, γ = 90.00°
Last column: nearest neighbours and their distance in Å.
Fractional coordinates of all 5 atoms:
Cs 0.0000 0.0000 0.0000  6 Al 2.79
La 0.5000 0.5000 0.5000  12 Al 3.94
Al 0.0000 0.0000 0.5000  2 Cs 2.79
Al 0.0000 0.5000 0.0000  2 Cs 2.79
Al 0.5000 0.0000 0.0000  2 Cs 2.79

Values from the calculation:
Magnetic moment in μB per cell: 0.0
ΔH_f (0 K) in meV per atom: 1281
Polymorph energy (0 for the lowest one) in meV/atom: 519

Compound: Ba2LiTl4Pb3
Source: Alexandria via LeMat-Bulk
Functional: PBE-GGA
Structure: optimized geometry

a = 4.9290 Å, b = 4.9290 Å, c = 14.2202 Å
α = 90.00°, β = 90.00°, γ = 90.00°
Last column: nearest neighbours and their distance in Å.
Fractional coordinates of all 10 atoms:
Ba 0.0000 0.5000 0.2493  4 Pb 3.78, 4 Tl 3.87
Ba 0.5000 0.0000 0.7507  4 Pb 3.78, 4 Tl 3.87
Li 0.5000 0.5000 0.0000  4 Tl 3.09
Tl 0.0000 0.0000 0.5000  4 Pb 3.24, 4 Tl 3.49
Tl 0.0000 0.5000 0.8684  2 Li 3.09, 3 Pb 3.09-3.13
Tl 0.5000 0.0000 0.1316  2 Li 3.09, 3 Pb 3.09-3.13
Tl 0.5000 0.5000 0.5000  4 Pb 3.24, 4 Tl 3.49
Pb 0.0000 0.0000 0.0000  4 Tl 3.09
Pb 0.0000 0.5000 0.6481  5 Tl 3.13-3.24
Pb 0.5000 0.0000 0.3519  5 Tl 3.13-3.24

Values from the calculation:
Magnetic moment in μB per cell: 0.0
ΔH_f (0 K) in meV per atom: -237

Compound: K2AuO2
Source: Alexandria via LeMat-Bulk
Functional: PBE-GGA
Structure: optimized geometry

a = 6.4636 Å, b = 6.4636 Å, c = 9.4003 Å
α = 111.61°, β = 111.61°, γ = 40.54°
Last column: nearest neighbours and their distance in Å.
Fractional coordinates of all 10 atoms:
K 0.0000 0.0000 0.0000  3 O 2.64-2.65
K 0.2490 0.2490 0.6665  3 O 2.69-2.79
K 0.4329 0.4329 0.2629  3 O 2.73-2.90
K 0.5279 0.5279 0.6364  5 O 2.65-2.76
Au 0.6969 0.6969 0.9931  2 O 1.99-2.11
Au 0.7482 0.7482 0.3408  2 O 2.02-2.04
O 0.0054 0.0054 0.4761  1 O 1.53
O 0.6025 0.6025 0.1399  2 Au 2.02-2.11
O 0.7669 0.7669 0.8334  1 Au 1.99
O 0.9039 0.9039 0.5344  1 O 1.53

Values from the calculation:
Magnetic moment in μB per cell: 0.0
Raw formation energy in eV per atom: -0.8554

Compound: CoPSe2
Source: Alexandria via LeMat-Bulk
Functional: PBE-GGA
Structure: optimized geometry

a = 3.4758 Å, b = 3.4843 Å, c = 7.5718 Å
α = 90.00°, β = 90.00°, γ = 90.00°
Last column: nearest neighbours and their distance in Å.
Fractional coordinates of all 4 atoms:
Co 0.0000 0.0000 0.0000  4 Se 2.46
P 0.5000 0.0000 0.5000  4 Se 2.46
Se 0.0000 0.5000 0.5000  4 P 2.46
Se 0.5000 0.5000 0.0000  4 Co 2.46

Values from the calculation:
Magnetic moment in μB per cell: 2.5
Raw formation energy in eV per atom: 0.5054

Which of these has the highest magnetic moment?
AcHfOsO6

Look up the magnetic moment of the sixth one.
0.0 μB per cell

Repeat the fourth record exactly.
Compound: AcHfOsO6
Source: Alexandria via LeMat-Bulk
Functional: PBE-GGA
Structure: optimized geometry

a = 6.9785 Å, b = 6.9785 Å, c = 6.9785 Å
α = 121.15°, β = 120.10°, γ = 88.93°
Last column: nearest neighbours and their distance in Å.
Fractional coordinates of all 18 atoms:
Ac 0.3334 0.0834 0.2500  8 O 2.57-2.80
Ac 0.6666 0.9166 0.7500  8 O 2.57-2.80
Hf 0.0000 0.5000 0.5000  8 O 2.09-2.32
Hf 0.5000 0.5000 0.0000  8 O 2.09-2.32
Os 0.0000 0.0000 0.5000  6 O 1.95-1.99
Os 0.0000 0.5000 0.0000  6 O 1.95-1.99
O 0.0617 0.3250 0.1581  1 Os 1.95
O 0.0617 0.9036 0.7367  1 Os 1.95
O 0.1010 0.3510 0.7500  2 Os 1.99
O 0.3331 0.0964 0.6581  1 Os 1.95
O 0.3331 0.6750 0.2367  1 Os 1.95
O 0.3654 0.6154 0.7500  2 Hf 2.09
O 0.6346 0.3846 0.2500  2 Hf 2.09
O 0.6669 0.3250 0.7633  1 Os 1.95
O 0.6669 0.9036 0.3419  1 Os 1.95
O 0.8990 0.6490 0.2500  2 Os 1.99
O 0.9383 0.0964 0.2633  1 Os 1.95
O 0.9383 0.6750 0.8419  1 Os 1.95

Values from the calculation:
Magnetic moment in μB per cell: 4.3
Raw formation energy in eV per atom: -2.3715

Please write out number 4 again, unchanged.
Compound: AcHfOsO6
Source: Alexandria via LeMat-Bulk
Functional: PBE-GGA
Structure: optimized geometry

a = 6.9785 Å, b = 6.9785 Å, c = 6.9785 Å
α = 121.15°, β = 120.10°, γ = 88.93°
Last column: nearest neighbours and their distance in Å.
Fractional coordinates of all 18 atoms:
Ac 0.3334 0.0834 0.2500  8 O 2.57-2.80
Ac 0.6666 0.9166 0.7500  8 O 2.57-2.80
Hf 0.0000 0.5000 0.5000  8 O 2.09-2.32
Hf 0.5000 0.5000 0.0000  8 O 2.09-2.32
Os 0.0000 0.0000 0.5000  6 O 1.95-1.99
Os 0.0000 0.5000 0.0000  6 O 1.95-1.99
O 0.0617 0.3250 0.1581  1 Os 1.95
O 0.0617 0.9036 0.7367  1 Os 1.95
O 0.1010 0.3510 0.7500  2 Os 1.99
O 0.3331 0.0964 0.6581  1 Os 1.95
O 0.3331 0.6750 0.2367  1 Os 1.95
O 0.3654 0.6154 0.7500  2 Hf 2.09
O 0.6346 0.3846 0.2500  2 Hf 2.09
O 0.6669 0.3250 0.7633  1 Os 1.95
O 0.6669 0.9036 0.3419  1 Os 1.95
O 0.8990 0.6490 0.2500  2 Os 1.99
O 0.9383 0.0964 0.2633  1 Os 1.95
O 0.9383 0.6750 0.8419  1 Os 1.95

Values from the calculation:
Magnetic moment in μB per cell: 4.3
Raw formation energy in eV per atom: -2.3715